Below is a geometry-optimized BaSc2In structure, with properties calculated at the PBE level.

a = 11.661 Å, b = 11.661 Å, c = 11.661 Å
α = 17.10°, β = 17.10°, γ = 17.10°
Fractional coordinates of all 4 atoms:
Ba1 0.000 0.000 0.000
Sc1 0.100 0.100 0.100
Sc2 0.900 0.900 0.900
In1 0.500 0.500 0.500

Properties
DFT formation energy	0.180	eV/atom
total energy	-4.151	eV per atom

=====

Below is a geometry-optimized RbCd2SiTc structure, with properties calculated at the PBE level.

a = 5.118 Å, b = 5.118 Å, c = 6.395 Å
α = 90.00°, β = 90.00°, γ = 90.00°
Fractional coordinates of all 5 atoms:
Rb1 0.000 0.000 0.000
Cd1 0.000 0.500 0.500
Cd2 0.500 0.000 0.500
Si1 0.000 0.000 0.500
Tc1 0.500 0.500 0.000

Properties
formation energy (no corrections)	623	kJ/mol of formula units
total energy	-2.427	eV per atom

=====

Below is a geometry-optimized EuMgHgPd structure, with properties calculated at the PBE level.

a = 5.066 Å, b = 5.066 Å, c = 5.066 Å
α = 60.00°, β = 60.00°, γ = 60.00°
Fractional coordinates of all 4 atoms:
Eu1 0.000 0.000 0.000
Mg1 0.500 0.500 0.500
Hg1 0.750 0.750 0.750
Pd1 0.250 0.250 0.250

Properties
DFT formation energy	-0.465	eV/atom
total energy	-4.806	eV per atom

=====

Below is a geometry-optimized CsHgPb3 structure, with properties calculated at the PBE level.

a = 8.444 Å, b = 8.444 Å, c = 8.444 Å
α = 145.67°, β = 145.67°, γ = 49.33°
Fractional coordinates of all 5 atoms:
Cs1 0.000 0.000 0.000
Hg1 0.404 0.404 0.000
Pb1 0.257 0.757 0.500
Pb2 0.623 0.623 0.000
Pb3 0.757 0.257 0.500

Properties
ΔE to the lowest computed polymorph	0.000	eV/atom
DFT formation energy	-0.125	eV/atom
total energy	-2.581	eV per atom

=====

Below is a geometry-optimized Nd2Ga3Pt4Pb structure, with properties calculated at the PBE level.

a = 4.221 Å, b = 4.221 Å, c = 11.487 Å
α = 90.00°, β = 90.00°, γ = 90.00°
Fractional coordinates of all 10 atoms:
Nd1 0.000 0.500 0.241
Nd2 0.500 0.000 0.759
Ga1 0.000 0.500 0.874
Ga2 0.500 0.000 0.126
Ga3 0.500 0.500 0.500
Pt1 0.000 0.000 0.000
Pt2 0.000 0.500 0.660
Pt3 0.500 0.000 0.340
Pt4 0.500 0.500 0.000
Pb1 0.000 0.000 0.500

Properties
DFT formation energy	-0.838	eV/atom
total energy	-5.486	eV per atom

=====

Below is a geometry-optimized ScMo2Br structure, with properties calculated at the PBE level.

a = 3.303 Å, b = 4.177 Å, c = 5.193 Å
α = 90.00°, β = 90.00°, γ = 90.00°
Fractional coordinates of all 4 atoms:
Sc1 0.000 0.000 0.000
Mo1 0.000 0.500 0.500
Mo2 0.500 0.000 0.500
Br1 0.500 0.500 0.000

Properties
ΔE to the lowest computed polymorph	0.419	eV/atom
formation energy (no corrections)	133	kJ/mol of formula units
total energy	-7.071	eV per atom

=====

Below is a geometry-optimized Dy2CoHg structure, with properties calculated at the PBE level.

a = 7.925 Å, b = 7.925 Å, c = 7.925 Å
α = 28.28°, β = 28.28°, γ = 28.28°
Fractional coordinates of all 4 atoms:
Dy1 0.000 0.000 0.000
Dy2 0.205 0.205 0.205
Co1 0.601 0.601 0.601
Hg1 0.436 0.436 0.436

Properties
ΔE to the lowest computed polymorph	0.098	eV/atom
DFT formation energy	-0.232	eV/atom
total energy	-4.385	eV per atom

=====

Below is a geometry-optimized LuZr3N structure, with properties calculated at the PBE level.

a = 4.626 Å, b = 4.626 Å, c = 4.626 Å
α = 90.00°, β = 90.00°, γ = 90.00°
Fractional coordinates of all 5 atoms:
Lu1 0.000 0.000 0.000
Zr1 0.000 0.500 0.500
Zr2 0.500 0.000 0.500
Zr3 0.500 0.500 0.000
N1 0.500 0.500 0.500

Properties
formation energy (no corrections)	-305	kJ/mol of formula units
total energy	-8.330	eV per atom

=====

Below is a geometry-optimized TlZnGaAg2 structure, with properties calculated at the PBE level.

a = 5.410 Å, b = 5.410 Å, c = 5.248 Å
α = 90.00°, β = 90.00°, γ = 90.00°
Fractional coordinates of all 5 atoms:
Tl1 0.000 0.000 0.000
Zn1 0.500 0.500 0.500
Ga1 0.000 0.000 0.500
Ag1 0.000 0.500 0.000
Ag2 0.500 0.000 0.000

Properties
DFT formation energy	0.686	eV/atom
total energy	-1.788	eV per atom

=====

Below is a geometry-optimized ThTlHg structure, with properties calculated at the PBE level.

a = 5.378 Å, b = 5.378 Å, c = 6.650 Å
α = 90.00°, β = 90.00°, γ = 120.56°
Fractional coordinates of all 6 atoms:
Th1 0.167 0.833 0.750
Th2 0.833 0.167 0.250
Tl1 0.500 0.500 0.000
Tl2 0.500 0.500 0.500
Hg1 0.165 0.835 0.250
Hg2 0.835 0.165 0.750

Properties
ΔE to the lowest computed polymorph	0.000	eV/atom
DFT formation energy	-0.187	eV/atom
total energy	-3.549	eV per atom

=====

Below is a geometry-optimized NaBiMo2 structure, with properties calculated at the PBE level.

a = 6.325 Å, b = 6.325 Å, c = 6.325 Å
α = 100.20°, β = 100.20°, γ = 130.22°
Fractional coordinates of all 8 atoms:
Na1 0.000 0.000 0.000
Na2 0.750 0.250 0.500
Bi1 0.250 0.750 0.500
Bi2 0.500 0.500 0.000
Mo1 0.162 0.125 0.537
Mo2 0.375 0.838 0.963
Mo3 0.588 0.625 0.463
Mo4 0.875 0.412 0.037

Properties
DFT formation energy	1.304	eV/atom
total energy	-5.412	eV per atom

=====

Below is a geometry-optimized Ba2Sn2Ru structure, with properties calculated at the PBE level.

a = 7.371 Å, b = 7.371 Å, c = 5.586 Å
α = 90.00°, β = 90.00°, γ = 90.00°
Fractional coordinates of all 10 atoms:
Ba1 0.172 0.328 0.000
Ba2 0.328 0.828 0.000
Ba3 0.672 0.172 0.000
Ba4 0.828 0.672 0.000
Sn1 0.149 0.649 0.500
Sn2 0.351 0.149 0.500
Sn3 0.649 0.851 0.500
Sn4 0.851 0.351 0.500
Ru1 0.000 0.000 0.500
Ru2 0.500 0.500 0.500

Properties
DFT formation energy	-0.119	eV/atom
total energy	-4.345	eV per atom

=====

Below is a geometry-optimized TlCuIr structure, with properties calculated at the PBE level.

a = 4.366 Å, b = 4.366 Å, c = 3.040 Å
α = 90.00°, β = 90.00°, γ = 120.00°
Fractional coordinates of all 3 atoms:
Tl1 0.000 0.000 0.000
Cu1 0.667 0.333 0.306
Ir1 0.333 0.667 0.566

Properties
ΔE to the lowest computed polymorph	0.012	eV/atom
DFT formation energy	0.455	eV/atom
total energy	-4.653	eV per atom

=====

Below is a geometry-optimized Ag2OsPb structure, with properties calculated at the PBE level.

a = 2.959 Å, b = 2.959 Å, c = 10.208 Å
α = 90.00°, β = 90.00°, γ = 118.19°
Fractional coordinates of all 4 atoms:
Ag1 0.000 0.000 0.228
Ag2 0.000 0.000 0.772
Os1 0.500 0.500 0.000
Pb1 0.500 0.500 0.500

Properties
DFT formation energy	0.771	eV/atom
total energy	-4.389	eV per atom

=====

Below is a geometry-optimized BaBeAg2Mo structure, with properties calculated at the PBE level.

a = 4.808 Å, b = 4.808 Å, c = 4.648 Å
α = 90.00°, β = 90.00°, γ = 90.00°
Fractional coordinates of all 5 atoms:
Ba1 0.000 0.000 0.000
Be1 0.500 0.500 0.500
Ag1 0.000 0.500 0.500
Ag2 0.500 0.000 0.500
Mo1 0.500 0.500 0.000

Properties
DFT formation energy	0.544	eV/atom
total energy	-3.892	eV per atom

=====

Below is a geometry-optimized Y8Er4Tm3 structure, with properties calculated at the PBE level.

a = 12.347 Å, b = 12.347 Å, c = 12.347 Å
α = 32.49°, β = 32.49°, γ = 32.49°
Fractional coordinates of all 15 atoms:
Y1 0.245 0.245 0.245
Y2 0.248 0.751 0.751
Y3 0.249 0.249 0.752
Y4 0.249 0.752 0.249
Y5 0.751 0.248 0.751
Y6 0.751 0.751 0.248
Y7 0.752 0.249 0.249
Y8 0.755 0.755 0.755
Er1 0.000 0.000 0.000
Er2 0.336 0.336 0.336
Er3 0.500 0.500 0.500
Er4 0.664 0.664 0.664
Tm1 0.000 0.000 0.500
Tm2 0.000 0.500 0.000
Tm3 0.500 0.000 0.000

Properties
ΔE to the lowest computed polymorph	0.000	eV/atom
DFT formation energy	0.163	eV/atom
total energy	-5.395	eV per atom

=====

Below is a geometry-optimized PrGaSb2 structure, with properties calculated at the PBE level.

a = 4.399 Å, b = 4.399 Å, c = 11.555 Å
α = 94.65°, β = 94.65°, γ = 89.91°
Fractional coordinates of all 8 atoms:
Pr1 0.047 0.047 0.219
Pr2 0.953 0.953 0.781
Ga1 0.217 0.783 0.500
Ga2 0.783 0.217 0.500
Sb1 0.000 0.500 0.000
Sb2 0.434 0.434 0.689
Sb3 0.500 0.000 0.000
Sb4 0.566 0.566 0.311

Properties
ΔE to the lowest computed polymorph	0.000	eV/atom
formation energy (no corrections)	-214	kJ/mol of formula units
total energy	-4.568	eV per atom

=====

Below is a geometry-optimized SrInAg2Cl structure, with properties calculated at the PBE level.

a = 6.111 Å, b = 6.111 Å, c = 5.435 Å
α = 90.00°, β = 90.00°, γ = 90.00°
Fractional coordinates of all 5 atoms:
Sr1 0.000 0.000 0.000
In1 0.500 0.500 0.500
Ag1 0.000 0.500 0.000
Ag2 0.500 0.000 0.000
Cl1 0.000 0.000 0.500

Properties
formation energy (no corrections)	-40	kJ/mol of formula units
total energy	-2.476	eV per atom

=====

Below is a geometry-optimized Cu2IBr structure, with properties calculated at the PBE level.

a = 6.778 Å, b = 6.778 Å, c = 6.778 Å
α = 33.95°, β = 33.95°, γ = 33.95°
Fractional coordinates of all 4 atoms:
Cu1 0.249 0.249 0.249
Cu2 0.751 0.751 0.751
I1 0.000 0.000 0.000
Br1 0.500 0.500 0.500

Properties
ΔE to the lowest computed polymorph	0.215	eV/atom
formation energy (no corrections)	11	kJ/mol of formula units
total energy	-2.825	eV per atom

=====

Below is a geometry-optimized KBi5Au2 structure, with properties calculated at the PBE level.

a = 8.154 Å, b = 8.154 Å, c = 8.154 Å
α = 148.06°, β = 115.89°, γ = 73.42°
Fractional coordinates of all 8 atoms:
K1 0.000 0.000 0.000
Bi1 0.147 0.348 0.799
Bi2 0.451 0.652 0.799
Bi3 0.500 0.000 0.500
Bi4 0.549 0.348 0.201
Bi5 0.853 0.652 0.201
Au1 0.257 0.757 0.500
Au2 0.743 0.243 0.500

Properties
DFT formation energy	-0.091	eV/atom
total energy	-3.474	eV per atom